Sc4SnSb | PBE-GGA | optimized geometry

Results
The value obtained for the uncorrected formation energy is -427 meV/atom. Its crystal system is tetragonal. As for the calculated total energy: -72.03 eV per cell.

abc: 8.367 8.367 8.367
angles: 132.20 132.20 69.92
Fractional coordinates of all 12 atoms:
Sc1 0.000 0.249 0.249
Sc2 0.000 0.751 0.751
Sc3 0.249 0.000 0.749
Sc4 0.249 0.500 0.249
Sc5 0.500 0.249 0.749
Sc6 0.500 0.751 0.251
Sc7 0.751 0.000 0.251
Sc8 0.751 0.500 0.751
Sn1 0.125 0.875 0.250
Sn2 0.875 0.125 0.750
Sb1 0.375 0.625 0.750
Sb2 0.625 0.375 0.250

ScSnSb | PBE-GGA | optimized geometry

Results
The value obtained for the uncorrected formation energy is -117 meV/atom. Its crystal system is cubic. As for the calculated total energy: -59.23 eV per cell.

abc: 7.101 7.101 7.101
angles: 90.00 90.00 90.00
Fractional coordinates of all 12 atoms:
Sc1 0.000 0.000 0.000
Sc2 0.000 0.500 0.500
Sc3 0.500 0.000 0.500
Sc4 0.500 0.500 0.000
Sn1 0.070 0.930 0.430
Sn2 0.430 0.070 0.930
Sn3 0.570 0.570 0.570
Sn4 0.930 0.430 0.070
Sb1 0.166 0.666 0.834
Sb2 0.334 0.334 0.334
Sb3 0.666 0.834 0.166
Sb4 0.834 0.166 0.666

Sc2SnSb2 | PBE-GGA | optimized geometry

Results
The value obtained for the uncorrected formation energy is -565 meV/atom. Its crystal system is tetragonal. As for the calculated total energy: -55.47 eV per cell.

abc: 7.851 7.851 3.982
angles: 90.00 90.00 90.00
Fractional coordinates of all 10 atoms:
Sc1 0.149 0.351 0.000
Sc2 0.351 0.851 0.000
Sc3 0.649 0.149 0.000
Sc4 0.851 0.649 0.000
Sn1 0.000 0.000 0.000
Sn2 0.500 0.500 0.000
Sb1 0.158 0.658 0.500
Sb2 0.342 0.158 0.500
Sb3 0.658 0.842 0.500
Sb4 0.842 0.342 0.500

Sc3SnSb | PBE-GGA | optimized geometry

Results
The value obtained for the uncorrected formation energy is -69 meV/atom. Its crystal system is cubic. As for the calculated total energy: -27.47 eV per cell.

abc: 5.280 5.280 5.280
angles: 90.00 90.00 90.00
Fractional coordinates of all 5 atoms:
Sc1 0.000 0.000 0.500
Sc2 0.000 0.500 0.000
Sc3 0.500 0.000 0.000
Sn1 0.500 0.500 0.500
Sb1 0.000 0.000 0.000

Sc3SnSb | PBE-GGA | optimized geometry

Results
The value obtained for the uncorrected formation energy is -669 meV/atom. Its crystal system is triclinic. As for the calculated total energy: -60.93 eV per cell.

abc: 5.914 5.944 7.461
angles: 73.81 74.07 77.54
Fractional coordinates of all 10 atoms:
Sc1 0.098 0.198 0.042
Sc2 0.198 0.094 0.537
Sc3 0.365 0.644 0.249
Sc4 0.635 0.356 0.751
Sc5 0.802 0.906 0.463
Sc6 0.902 0.802 0.958
Sn1 0.139 0.544 0.663
Sn2 0.861 0.456 0.337
Sb1 0.447 0.852 0.834
Sb2 0.553 0.148 0.166

ScSnSb2Te | PBE-GGA | optimized geometry

Results
The value obtained for the uncorrected formation energy is 559 meV/atom. Its crystal system is tetragonal. As for the calculated total energy: -18.92 eV per cell.

abc: 5.558 5.558 5.635
angles: 90.00 90.00 90.00
Fractional coordinates of all 5 atoms:
Sc1 0.000 0.000 0.000
Sn1 0.500 0.500 0.500
Sb1 0.000 0.500 0.500
Sb2 0.500 0.000 0.500
Te1 0.500 0.500 0.000

ScSnSb2Te | PBE-GGA | optimized geometry

Results
The value obtained for the uncorrected formation energy is 79 meV/atom. Its crystal system is tetragonal. As for the calculated total energy: -21.33 eV per cell.

abc: 5.491 5.491 5.529
angles: 90.00 90.00 90.00
Fractional coordinates of all 5 atoms:
Sc1 0.000 0.000 0.000
Sn1 0.500 0.500 0.500
Sb1 0.000 0.500 0.000
Sb2 0.500 0.000 0.000
Te1 0.000 0.000 0.500

Sc6SnSb2Te3 | PBE-GGA | optimized geometry

Results
The value obtained for the uncorrected formation energy is -1000 meV/atom. Its crystal system is monoclinic. As for the calculated total energy: -71.66 eV per cell.

abc: 9.335 9.335 8.358
angles: 103.29 103.29 25.75
Fractional coordinates of all 12 atoms:
Sc1 0.002 0.002 0.242
Sc2 0.331 0.331 0.424
Sc3 0.337 0.337 0.913
Sc4 0.663 0.663 0.087
Sc5 0.669 0.669 0.576
Sc6 0.998 0.998 0.758
Sn1 0.500 0.500 0.000
Sb1 0.166 0.166 0.333
Sb2 0.834 0.834 0.667
Te1 0.168 0.168 0.833
Te2 0.500 0.500 0.500
Te3 0.832 0.832 0.167

SrSc2Sb | PBE-GGA | optimized geometry

Results
The value obtained for the uncorrected formation energy is -207 meV/atom. Its crystal system is monoclinic. As for the calculated total energy: -19.29 eV per cell.

abc: 3.711 4.996 6.461
angles: 90.00 103.35 90.00
Fractional coordinates of all 4 atoms:
Sr1 0.000 0.000 0.000
Sc1 0.337 0.500 0.706
Sc2 0.663 0.500 0.294
Sb1 0.500 0.000 0.500

SrScSb | PBE-GGA | optimized geometry

Results
The value obtained for the uncorrected formation energy is -432 meV/atom. Its crystal system is cubic. As for the calculated total energy: -13.43 eV per cell.

abc: 5.182 5.182 5.182
angles: 60.00 60.00 60.00
Fractional coordinates of all 3 atoms:
Sr1 0.000 0.000 0.000
Sc1 0.500 0.500 0.500
Sb1 0.250 0.250 0.250

SrScSb | PBE-GGA | optimized geometry

Results
The value obtained for the uncorrected formation energy is -587 meV/atom. Its crystal system is monoclinic. As for the calculated total energy: -27.80 eV per cell.

abc: 7.198 7.198 6.751
angles: 107.50 107.50 37.73
Fractional coordinates of all 6 atoms:
Sr1 0.000 0.000 0.000
Sr2 0.621 0.621 0.557
Sc1 0.315 0.315 0.484
Sc2 0.742 0.742 0.127
Sb1 0.279 0.279 0.894
Sb2 0.936 0.936 0.467

SrScSb | PBE-GGA | optimized geometry

Results
The value obtained for the uncorrected formation energy is -629 meV/atom. Its crystal system is monoclinic. As for the calculated total energy: -28.05 eV per cell.

abc: 6.274 6.274 7.384
angles: 94.29 94.29 40.91
Fractional coordinates of all 6 atoms:
Sr1 0.000 0.000 0.000
Sr2 0.728 0.728 0.300
Sc1 0.409 0.409 0.631
Sc2 0.690 0.690 0.758
Sb1 0.065 0.065 0.524
Sb2 0.290 0.290 0.985